(1)
First-principles (GGA-PBE) data for crystalline PrPbW at its relaxed geometry, as listed in the Open Quantum Materials Database.

Values from the calculation:
energy = -6.1582 eV/atom
crystal system = cubic
energy relative to the lowest polymorph listed for this composition = 0.000 eV per atom

Unit cell a=4.924 b=4.924 c=4.924 alpha=60.00 beta=60.00 gamma=60.00
Atoms (fractional coordinates):
Pb: 0.250 0.250 0.250
W: 0.000 0.000 0.000
Pr: 0.750 0.750 0.750

=====

(2)
First-principles (GGA-PBE) data for crystalline PrY2Pb7 at its relaxed geometry, as listed in the Open Quantum Materials Database.

Values from the calculation:
energy = -4.7547 eV/atom
crystal system = orthorhombic

Unit cell a=13.182 b=13.182 c=4.739 alpha=90.00 beta=90.00 gamma=159.19
Atoms (fractional coordinates):
Pb: 0.900 0.100 0.500
Pb: 0.401 0.599 0.000
Pb: 0.500 0.500 0.500
Pb: 0.599 0.401 0.000
Pb: 0.293 0.707 0.500
Pb: 0.707 0.293 0.500
Pb: 0.100 0.900 0.500
Pr: 0.000 0.000 0.000
Y: 0.811 0.189 0.000
Y: 0.189 0.811 0.000

=====

(3)
First-principles (GGA-PBE) data for crystalline Pr2YPb7 at its relaxed geometry, as listed in the Open Quantum Materials Database.

Values from the calculation:
energy = -4.5953 eV/atom
crystal system = orthorhombic

Unit cell a=13.978 b=13.978 c=4.681 alpha=90.00 beta=90.00 gamma=161.07
Atoms (fractional coordinates):
Pb: 0.500 0.500 0.500
Pb: 0.210 0.790 0.000
Pb: 0.406 0.594 0.000
Pb: 0.594 0.406 0.000
Pb: 0.790 0.210 0.000
Pb: 0.094 0.906 0.500
Pb: 0.906 0.094 0.500
Pr: 0.689 0.311 0.500
Pr: 0.311 0.689 0.500
Y: 0.000 0.000 0.000

=====

(4)
First-principles (GGA-PBE) data for crystalline PrYPb at its relaxed geometry, as listed in the Open Quantum Materials Database.

Values from the calculation:
energy = -4.7135 eV/atom
crystal system = cubic

Unit cell a=5.318 b=5.318 c=5.318 alpha=60.00 beta=60.00 gamma=60.00
Atoms (fractional coordinates):
Y: 0.000 0.000 0.000
Pr: 0.750 0.750 0.750
Pb: 0.250 0.250 0.250

=====

(5)
First-principles (GGA-PBE) data for crystalline PrYZn2Pb2 at its relaxed geometry, as listed in the Open Quantum Materials Database.

Values from the calculation:
energy = -3.9754 eV/atom
crystal system = hexagonal
energy relative to the lowest polymorph listed for this composition = 0.015 eV per atom

Unit cell a=4.659 b=4.659 c=16.308 alpha=90.00 beta=90.00 gamma=120.00
Atoms (fractional coordinates):
Zn: 0.333 0.667 0.160
Zn: 0.667 0.333 0.840
Zn: 0.667 0.333 0.660
Zn: 0.333 0.667 0.340
Y: 0.000 0.000 0.000
Y: 0.000 0.000 0.500
Pb: 0.333 0.667 0.608
Pb: 0.667 0.333 0.392
Pb: 0.667 0.333 0.108
Pb: 0.333 0.667 0.892
Pr: 0.000 0.000 0.750
Pr: 0.000 0.000 0.250

=====

(6)
First-principles (GGA-PBE) data for crystalline PrYZn2Pb2 at its relaxed geometry, as listed in the Open Quantum Materials Database.

Values from the calculation:
energy = -3.9908 eV/atom
crystal system = hexagonal
energy relative to the lowest polymorph listed for this composition = 0.000 eV per atom

Unit cell a=4.630 b=4.630 c=16.497 alpha=90.00 beta=90.00 gamma=120.00
Atoms (fractional coordinates):
Pb: 0.333 0.667 0.615
Pb: 0.667 0.333 0.385
Pb: 0.667 0.333 0.115
Pb: 0.333 0.667 0.885
Pr: 0.000 0.000 0.000
Pr: 0.000 0.000 0.500
Y: 0.000 0.000 0.750
Y: 0.000 0.000 0.250
Zn: 0.667 0.333 0.667
Zn: 0.667 0.333 0.833
Zn: 0.333 0.667 0.333
Zn: 0.333 0.667 0.167

=====

(7)
First-principles (GGA-PBE) data for crystalline PtPb3 at its relaxed geometry, as listed in the Open Quantum Materials Database.

Values from the calculation:
energy = -4.4279 eV/atom
crystal system = orthorhombic

Unit cell a=6.394 b=6.394 c=8.925 alpha=90.00 beta=90.00 gamma=143.82
Atoms (fractional coordinates):
Pb: 0.142 0.858 0.942
Pb: 0.426 0.574 0.750
Pb: 0.858 0.142 0.442
Pb: 0.574 0.426 0.250
Pb: 0.858 0.142 0.058
Pb: 0.142 0.858 0.558
Pt: 0.755 0.245 0.750
Pt: 0.245 0.755 0.250

=====

(8)
First-principles (GGA-PBE) data for crystalline Pt7Pb at its relaxed geometry, as listed in the Open Quantum Materials Database.

Values from the calculation:
energy = -5.7484 eV/atom
crystal system = orthorhombic
energy relative to the lowest polymorph listed for this composition = 0.000 eV per atom

Unit cell a=2.898 b=3.885 c=34.218 alpha=90.00 beta=90.00 gamma=90.00
Atoms (fractional coordinates):
Pt: 0.000 0.000 0.683
Pt: 0.500 0.500 0.724
Pt: 0.000 0.000 0.601
Pt: 0.500 0.500 0.399
Pt: 0.500 0.500 0.480
Pt: 0.000 0.000 0.766
Pt: 0.000 0.000 0.276
Pt: 0.500 0.500 0.642
Pt: 0.500 0.500 0.317
Pt: 0.000 0.000 0.520
Pt: 0.000 0.000 0.358
Pt: 0.500 0.500 0.560
Pt: 0.000 0.000 0.440
Pt: 0.500 0.500 0.234
Pb: 0.000 0.000 0.185
Pb: 0.500 0.500 0.815

=====

Number 1: size of the total moment 1.24 μB/cell, calculated volume 84 Å³/cell. Number 2: size of the total moment 0.01 μB/cell, calculated volume 293 Å³/cell. Number 3: size of the total moment 0.01 μB/cell, calculated volume 297 Å³/cell. Number 4: size of the total moment 1.87 μB/cell, calculated volume 106 Å³/cell. Number 5: size of the total moment 0.01 μB/cell, calculated volume 307 Å³/cell. Number 6: size of the total moment 0.00 μB/cell, calculated volume 306 Å³/cell. Number 7: size of the total moment 0.00 μB/cell, calculated volume 215 Å³/cell. Number 8: size of the total moment 0.01 μB/cell, calculated volume 385 Å³/cell.